[1]
LiMnHPt2 after structural relaxation, computed with PBE.

The structure belongs to space group P4/mmm (No. 123); the cell edges are 3.9970, 3.9970 and 3.8245 Å and the angles 90.00°, 90.00° and 90.00°. The inequivalent atoms are Li at (0.0000, 0.0000, 0.0000), Mn at (0.5000, 0.5000, 0.0000), H at (0.5000, 0.5000, 0.5000) and Pt at (0.0000, 0.5000, 0.5000).

Its offset from the most stable computed form is 0.0763 eV/atom. The calculation puts the total magnetization at 4.62 μB/f.u. The crystal system is tetragonal.



[2]
ReAs2Cl after structural relaxation, computed with PBE.

The structure belongs to space group P4mm (No. 99); the cell edges are 3.2733, 3.2733 and 7.5311 Å and the angles 90.00°, 90.00° and 90.00°. The inequivalent atoms are Re at (0.0000, 0.0000, 0.0000), As at (0.0000, 0.0000, 0.3424), As at (0.5000, 0.5000, 0.1492) and Cl at (0.5000, 0.5000, 0.7542).

As for the formation energy from raw total energies: 0.41 eV/atom. Its offset from the most stable computed form is 0.3587 eV/atom. The calculation puts the total magnetization at 0.00 μB/f.u. The crystal system is tetragonal.



[3]
NaCa2LaOs after structural relaxation, computed with PBE.

The structure belongs to space group P4/mmm (No. 123); the cell edges are 5.8016, 5.8016 and 5.2991 Å and the angles 90.00°, 90.00° and 90.00°. The inequivalent atoms are Na at (0.0000, 0.0000, 0.0000), Ca at (0.0000, 0.5000, 0.5000), La at (0.5000, 0.5000, 0.0000) and Os at (0.5000, 0.5000, 0.5000).

As for the total energy: -4.213 eV per atom. The calculation puts the total magnetization at 0.00 μB/f.u. The crystal system is tetragonal.



[4]
Ca5CuPb3 after structural relaxation, computed with PBE.

The structure belongs to space group P6_3/mcm (No. 193); the cell edges are 9.6330, 9.6330 and 6.7481 Å and the angles 90.00°, 90.00° and 120.00°. The inequivalent atoms are Ca at (0.0000, 0.2538, 0.2500), Ca at (0.3333, 0.6667, 0.0000), Cu at (0.0000, 0.0000, 0.0000) and Pb at (0.0000, 0.4053, 0.7500).

As for the total energy: -3.243 eV per atom. The calculation puts the total magnetization at 0.00 μB/f.u. The crystal system is hexagonal.



[5]
NaSrGa3 after structural relaxation, computed with PBE.

The structure belongs to space group Pm-3m (No. 221); the cell edges are 5.9010, 5.9010 and 5.9010 Å and the angles 90.00°, 90.00° and 90.00°. The inequivalent atoms are Na at (0.0000, 0.0000, 0.0000), Sr at (0.5000, 0.5000, 0.5000) and Ga at (0.0000, 0.5000, 0.5000).

Its offset from the most stable computed form is 0.9136 eV/atom. The calculation puts the total magnetization at 0.00 μB/f.u. The crystal system is cubic.



[6]
Sm3Tm4Cd2 after structural relaxation, computed with PBE.

The structure belongs to space group C2/m (No. 12); the cell edges are 14.6675, 4.8636 and 7.7593 Å and the angles 90.00°, 108.49° and 90.00°. The inequivalent atoms are Sm at (0.0000, 0.0000, 0.0000), Sm at (0.1138, 0.0000, 0.6671), Tm at (0.0579, 0.5000, 0.3346), Tm at (0.2216, 0.0000, 0.3214) and Cd at (0.1667, 0.5000, 0.0012).

As for the total energy: -3.835 eV per atom. The calculation puts the total magnetization at 0.00 μB/f.u. The crystal system is monoclinic.



[7]
Ac2In5Rh3 after structural relaxation, computed with PBE.

The structure belongs to space group Cmc2_1 (No. 36); the cell edges are 4.5843, 27.2526 and 7.5718 Å and the angles 90.00°, 90.00° and 90.00°. The inequivalent atoms are Ac at (0.0000, 0.0275, 0.0000), Ac at (0.0000, 0.3246, 0.0915), In at (0.0000, 0.0984, 0.3862), In at (0.0000, 0.2062, 0.9035), In at (0.0000, 0.2106, 0.2937), In at (0.0000, 0.3698, 0.5514), In at (0.0000, 0.4466, 0.1684), Rh at (0.0000, 0.1098, 0.7638), Rh at (0.0000, 0.2681, 0.6023) and Rh at (0.0000, 0.4537, 0.7862).

As for the total energy: -4.929 eV per atom. The calculation puts the total magnetization at 0.00 μB/f.u. The crystal system is orthorhombic.



[8]
Mg3BiC after structural relaxation, computed with PBE.

The structure belongs to space group Pm-3m (No. 221); the cell edges are 4.5383, 4.5383 and 4.5383 Å and the angles 90.00°, 90.00° and 90.00°. The inequivalent atoms are Mg at (0.0000, 0.0000, 0.5000), Bi at (0.5000, 0.5000, 0.5000) and C at (0.0000, 0.0000, 0.0000).

Its offset from the most stable computed form is 0.0000 eV/atom. The calculation puts the total magnetization at 0.00 μB/f.u. The crystal system is cubic.



What is the formula in the eighth record?
Mg3BiC